Compound: CrCu2CI
Source: Alexandria via LeMat-Bulk
Functional: PBE
Structure: optimized geometry

```
data_CrCu2CI
_space_group_name_H-M_alt 'P 4/m m m'
_space_group_IT_number 123
_space_group_name_Hall '-P 4 2'
_cell_length_a 4.202
_cell_length_b 4.202
_cell_length_c 4.135
_cell_angle_alpha 90.00
_cell_angle_beta 90.00
_cell_angle_gamma 90.00
loop_
_atom_site_label
_atom_site_fract_x
_atom_site_fract_y
_atom_site_fract_z
_atom_site_occupancy
Cr1 0.000 0.000 0.000 1
Cu1 0.000 0.500 0.500 1
C1 0.000 0.000 0.500 1
I1 0.500 0.500 0.000 1
```

## Properties
total moment: 0.5588 μB/atom
formation energy (no corrections): 0.6277 eV per atom
V: 73.0 Å³ per cell
calculated density: 7233 kg/m3



Compound: Pa2Sn2O7
Source: Alexandria via LeMat-Bulk
Functional: PBE
Structure: optimized geometry

```
data_Pa2Sn2O7
_space_group_name_H-M_alt 'C m c 21'
_space_group_IT_number 36
_cell_length_a 4.400
_cell_length_b 29.232
_cell_length_c 6.069
_cell_angle_alpha 90.00
_cell_angle_beta 90.00
_cell_angle_gamma 90.00
loop_
_space_group_symop_operation_xyz
'x,y,z'
'-x,-y,z+1/2'
'-x,y,z'
'x,-y,z+1/2'
'x+1/2,y+1/2,z'
'-x+1/2,-y+1/2,z+1/2'
'-x+1/2,y+1/2,z'
'x+1/2,-y+1/2,z+1/2'
loop_
_atom_site_label
_atom_site_fract_x
_atom_site_fract_y
_atom_site_fract_z
_atom_site_occupancy
Pa1 0.000 0.052 0.000 1
Pa2 0.000 0.160 0.476 1
Sn1 0.000 0.276 0.481 1
Sn2 0.000 0.431 0.060 1
O1 0.000 0.004 0.270 1
O2 0.000 0.094 0.689 1
O3 0.000 0.110 0.213 1
O4 0.000 0.214 0.706 1
O5 0.000 0.217 0.256 1
O6 0.000 0.355 0.017 1
O7 0.000 0.443 0.429 1
```

## Properties
total moment: 0.0000 μB/atom
formation energy (no corrections): -2.6569 eV per atom
V: 780.6 Å³ per cell
calculated density: 6905 kg/m3



Compound: Pm2DyInC
Source: Alexandria via LeMat-Bulk
Functional: PBE
Structure: optimized geometry

```
data_Pm2DyInC
_space_group_name_H-M_alt 'P 4/m m m'
_space_group_IT_number 123
_space_group_name_Hall '-P 4 2'
_cell_length_a 5.091
_cell_length_b 5.091
_cell_length_c 4.931
_cell_angle_alpha 90.00
_cell_angle_beta 90.00
_cell_angle_gamma 90.00
loop_
_atom_site_label
_atom_site_fract_x
_atom_site_fract_y
_atom_site_fract_z
_atom_site_occupancy
Pm1 0.000 0.500 0.000 1
Dy1 0.000 0.000 0.500 1
In1 0.500 0.500 0.500 1
C1 0.000 0.000 0.000 1
```

## Properties
total moment: 0.0000 μB/atom
V: 127.8 Å³ per cell
DFT formation energy: -38.68 kJ per mole of atoms
calculated density: 7528 kg/m3



Compound: Ce3Sm2YAs6
Source: Alexandria via LeMat-Bulk
Functional: PBE
Structure: optimized geometry

```
data_Ce3Sm2YAs6
_space_group_name_H-M_alt 'C 1 2/m 1'
_space_group_IT_number 12
_cell_length_a 7.278
_cell_length_b 12.606
_cell_length_c 7.270
_cell_angle_alpha 90.00
_cell_angle_beta 109.50
_cell_angle_gamma 90.00
loop_
_space_group_symop_operation_xyz
'x,y,z'
'-x,-y,-z'
'-x,y,-z'
'x,-y,z'
'x+1/2,y+1/2,z'
'-x+1/2,-y+1/2,-z'
'-x+1/2,y+1/2,-z'
'x+1/2,-y+1/2,z'
loop_
_atom_site_label
_atom_site_fract_x
_atom_site_fract_y
_atom_site_fract_z
_atom_site_occupancy
Ce1 0.000 0.000 0.000 1
Ce2 0.000 0.333 0.000 1
Sm1 0.000 0.166 0.500 1
Y1 0.000 0.500 0.500 1
As1 0.247 0.500 0.249 1
As2 0.248 0.335 0.750 1
```

## Properties
total moment: 0.1586 μB/atom
V: 628.8 Å³ per cell
DFT formation energy: -143.31 kJ per mole of atoms
calculated density: 6653 kg/m3



Compound: RbPtCl2
Source: Alexandria via LeMat-Bulk
Functional: PBE
Structure: optimized geometry

```
data_RbPtCl2
_space_group_name_H-M_alt 'R -3 m'
_space_group_IT_number 166
_space_group_name_Hall '-R 3 2"'
_cell_length_a 5.7235
_cell_length_b 5.7235
_cell_length_c 18.2689
_cell_angle_alpha 90.00
_cell_angle_beta 90.00
_cell_angle_gamma 120.00
loop_
_atom_site_label
_atom_site_fract_x
_atom_site_fract_y
_atom_site_fract_z
_atom_site_occupancy
Rb1 0.0000 0.0000 0.0000 1
Pt1 0.0000 0.0000 0.5000 1
Cl1 0.0000 0.0000 0.3784 1
```

## Properties
total moment: 0.2500 μB/atom
formation energy (no corrections): -0.6901 eV per atom
V: 518.3 Å³ per cell
calculated density: 3378 kg/m3



Compound: K4TiTl3O8
Source: Alexandria via LeMat-Bulk
Functional: PBE
Structure: optimized geometry

```
data_K4TiTl3O8
_space_group_name_H-M_alt 'R -3 m'
_space_group_IT_number 166
_space_group_name_Hall '-R 3 2"'
_cell_length_a 6.9057
_cell_length_b 6.9057
_cell_length_c 18.4855
_cell_angle_alpha 90.00
_cell_angle_beta 90.00
_cell_angle_gamma 120.00
loop_
_atom_site_label
_atom_site_fract_x
_atom_site_fract_y
_atom_site_fract_z
_atom_site_occupancy
K1 0.0000 0.0000 0.0000 1
K2 0.0000 0.5000 0.0000 1
Ti1 0.0000 0.0000 0.5000 1
Tl1 0.0000 0.5000 0.5000 1
O1 0.0000 0.0000 0.2306 1
O2 0.0460 0.5230 0.2288 1
```

## Properties
total moment: 0.0000 μB/atom
formation energy (no corrections): -1.3826 eV per atom
V: 763.5 Å³ per cell
calculated density: 6169 kg/m3